# Y2TlIn9 | Alexandria | PBE | optimized geometry
data_Y2TlIn9
_chemical_formula_sum 'Y2 Tl1 In9'
_symmetry_space_group_name_H-M 'P 1'
_symmetry_Int_Tables_number 1
_cell_length_a 4.651
_cell_length_b 4.651
_cell_length_c 14.542
_cell_angle_alpha 90.00
_cell_angle_beta 90.00
_cell_angle_gamma 90.00
loop_
_symmetry_equiv_pos_as_xyz
'x,y,z'
loop_
_atom_site_label
_atom_site_type_symbol
_atom_site_fract_x
_atom_site_fract_y
_atom_site_fract_z
_atom_site_occupancy
Y1 Y 0.000 0.000 0.158 1
Y2 Y 0.000 0.000 0.842 1
Tl1 Tl 0.000 0.000 0.500 1
In1 In 0.000 0.500 0.000 1
In2 In 0.000 0.500 0.323 1
In3 In 0.000 0.500 0.677 1
In4 In 0.500 0.000 0.000 1
In5 In 0.500 0.000 0.323 1
In6 In 0.500 0.000 0.677 1
In7 In 0.500 0.500 0.162 1
In8 In 0.500 0.500 0.500 1
In9 In 0.500 0.500 0.838 1
# Calculated volume (A^3/atom): 26.2
# Energy of formation from the pure elements (eV per atom): -0.24
# Space group: P4/mmm (123)
# Raw total energy (eV per atom): -3.570